A geometry-optimized Cs12P3Cl5 structure, computed with PBE.

Magnetic moment = 2.10 μB/f.u.
N(E_F) = 17.43 states/eV/f.u.
Formation energy from raw total energies = -0.974 eV/atom
ρ = 2.85 g/cm3
Space-group type = Ia-3d (230)

Cell: 17.813 17.813 17.813 Å, 109.47 109.47 109.47°
Fractional coordinates of all 80 atoms:
Cs  0.053  0.224  0.139
Cs  0.053  0.329  0.913
Cs  0.084  0.724  0.671
Cs  0.084  0.861  0.413
Cs  0.087  0.639  0.416
Cs  0.087  0.947  0.671
Cs  0.139  0.053  0.224
Cs  0.139  0.587  0.916
Cs  0.171  0.224  0.584
Cs  0.171  0.447  0.587
Cs  0.224  0.139  0.053
Cs  0.224  0.584  0.171
Cs  0.276  0.329  0.916
Cs  0.276  0.447  0.361
Cs  0.329  0.913  0.053
Cs  0.329  0.916  0.276
Cs  0.361  0.276  0.447
Cs  0.361  0.584  0.913
Cs  0.413  0.084  0.861
Cs  0.413  0.829  0.553
Cs  0.416  0.087  0.639
Cs  0.416  0.829  0.776
Cs  0.447  0.361  0.276
Cs  0.447  0.587  0.171
Cs  0.553  0.413  0.829
Cs  0.553  0.639  0.724
Cs  0.584  0.171  0.224
Cs  0.584  0.913  0.361
Cs  0.587  0.171  0.447
Cs  0.587  0.916  0.139
Cs  0.639  0.416  0.087
Cs  0.639  0.724  0.553
Cs  0.671  0.084  0.724
Cs  0.671  0.087  0.947
Cs  0.724  0.553  0.639
Cs  0.724  0.671  0.084
Cs  0.776  0.416  0.829
Cs  0.776  0.861  0.947
Cs  0.829  0.553  0.413
Cs  0.829  0.776  0.416
Cs  0.861  0.413  0.084
Cs  0.861  0.947  0.776
Cs  0.913  0.053  0.329
Cs  0.913  0.361  0.584
Cs  0.916  0.139  0.587
Cs  0.916  0.276  0.329
Cs  0.947  0.671  0.087
Cs  0.947  0.776  0.861
P  0.125  0.250  0.375
P  0.125  0.375  0.750
P  0.250  0.375  0.125
P  0.250  0.875  0.625
P  0.375  0.125  0.250
P  0.375  0.750  0.125
P  0.625  0.250  0.875
P  0.625  0.875  0.750
P  0.750  0.125  0.375
P  0.750  0.625  0.875
P  0.875  0.625  0.250
P  0.875  0.750  0.625
Cl  0.000  0.000  0.000
Cl  0.000  0.000  0.500
Cl  0.000  0.500  0.000
Cl  0.000  0.500  0.500
Cl  0.125  0.750  0.875
Cl  0.125  0.875  0.250
Cl  0.250  0.125  0.875
Cl  0.250  0.625  0.375
Cl  0.375  0.250  0.625
Cl  0.375  0.625  0.750
Cl  0.500  0.000  0.000
Cl  0.500  0.000  0.500
Cl  0.500  0.500  0.000
Cl  0.500  0.500  0.500
Cl  0.625  0.375  0.250
Cl  0.625  0.750  0.375
Cl  0.750  0.375  0.625
Cl  0.750  0.875  0.125
Cl  0.875  0.125  0.750
Cl  0.875  0.250  0.125